## K4Er3SnO8 (PBE)

Data for an optimized crystal structure of K4Er3SnO8.

a b c (Å): 6.9079 6.9079 18.7705
angles (deg): 90.00 90.00 120.00
Space group R-3m (No. 166, hexagonal axes)
Inequivalent atoms, fractional coordinates:
K 0.0000 0.0000 0.0000 (multiplicity 3)
K 0.0000 0.5000 0.0000 (multiplicity 9)
Er 0.0000 0.5000 0.5000 (multiplicity 9)
Sn 0.0000 0.0000 0.5000 (multiplicity 3)
O 0.0000 0.0000 0.2277 (multiplicity 6)
O 0.0044 0.5022 0.7713 (multiplicity 18)

Calculated values
Total moment, μB/cell: 0.00
Raw formation energy, eV per atom: -2.42
N(E_F), states/eV/f.u.: 1.7

## K3Er3TaO8 (PBE)

Data for an optimized crystal structure of K3Er3TaO8.

a b c (Å): 6.7658 6.7658 18.8215
angles (deg): 90.00 90.00 120.00
Space group R-3m (No. 166, hexagonal axes)
Inequivalent atoms, fractional coordinates:
K 0.0000 0.5000 0.0000 (multiplicity 9)
Er 0.0000 0.5000 0.5000 (multiplicity 9)
Ta 0.0000 0.0000 0.5000 (multiplicity 3)
O 0.0000 0.0000 0.2281 (multiplicity 6)
O 0.0226 0.5113 0.2225 (multiplicity 18)

Calculated values
Total moment, μB/cell: 2.98
Raw formation energy, eV per atom: -2.76
N(E_F), states/eV/f.u.: 1.7

## K4ErTa3O12 (PBE)

Data for an optimized crystal structure of K4ErTa3O12.

a b c (Å): 8.274 8.274 8.274
angles (deg): 90.00 90.00 90.00
Space group Im-3m (No. 229)
Inequivalent atoms, fractional coordinates:
K 0.250 0.250 0.250 (multiplicity 8)
Er 0.000 0.000 0.000 (multiplicity 2)
Ta 0.000 0.000 0.500 (multiplicity 6)
O 0.000 0.000 0.266 (multiplicity 12)
O 0.000 0.250 0.500 (multiplicity 12)

Calculated values
Total moment, μB/cell: 3.40
Raw formation energy, eV per atom: -2.50
N(E_F), states/eV/f.u.: 13.7

## K2ErTaO6 (PBE)

Data for an optimized crystal structure of K2ErTaO6.

a b c (Å): 8.490 8.490 8.490
angles (deg): 90.00 90.00 90.00
Space group Fm-3m (No. 225)
Inequivalent atoms, fractional coordinates:
K 0.250 0.250 0.250 (multiplicity 8)
Er 0.000 0.000 0.000 (multiplicity 4)
Ta 0.000 0.000 0.500 (multiplicity 4)
O 0.000 0.000 0.265 (multiplicity 24)

Calculated values
Total moment, μB/cell: 8.16
Raw formation energy, eV per atom: -2.36
N(E_F), states/eV/f.u.: 4.4

## K3Tb2ErO6 (PBE)

Data for an optimized crystal structure of K3Tb2ErO6.

a b c (Å): 6.038 10.458 6.578
angles (deg): 90.00 107.83 90.00
Space group C2/m (No. 12)
Inequivalent atoms, fractional coordinates:
K 0.000 0.000 0.000 (multiplicity 2)
K 0.000 0.334 0.000 (multiplicity 4)
Tb 0.000 0.167 0.500 (multiplicity 4)
Er 0.000 0.500 0.500 (multiplicity 2)
O 0.227 0.335 0.685 (multiplicity 8)
O 0.232 0.000 0.685 (multiplicity 4)

Calculated values
Total moment, μB/cell: 0.00
Raw formation energy, eV per atom: -2.76
N(E_F), states/eV/f.u.: 0.0

## K2TbErO4 (PBE)

Data for an optimized crystal structure of K2TbErO4.

a b c (Å): 6.020 3.475 6.573
angles (deg): 90.00 107.78 90.00
Space group P2/m (No. 10)
Inequivalent atoms, fractional coordinates:
K 0.000 0.000 0.000 (multiplicity 1)
K 0.500 0.500 0.000 (multiplicity 1)
Tb 0.000 0.500 0.500 (multiplicity 1)
Er 0.500 0.000 0.500 (multiplicity 1)
O 0.232 0.000 0.685 (multiplicity 2)
O 0.275 0.500 0.315 (multiplicity 2)

Calculated values
Total moment, μB/cell: 0.00
Raw formation energy, eV per atom: -2.77
N(E_F), states/eV/f.u.: 0.0

## K3TbEr2O6 (PBE)

Data for an optimized crystal structure of K3TbEr2O6.

a b c (Å): 6.002 10.396 6.568
angles (deg): 90.00 107.74 90.00
Space group C2/m (No. 12)
Inequivalent atoms, fractional coordinates:
K 0.000 0.000 0.000 (multiplicity 2)
K 0.000 0.333 0.000 (multiplicity 4)
Tb 0.000 0.500 0.500 (multiplicity 2)
Er 0.000 0.167 0.500 (multiplicity 4)
O 0.224 0.000 0.685 (multiplicity 4)
O 0.230 0.331 0.685 (multiplicity 8)

Calculated values
Total moment, μB/cell: 0.00
Raw formation energy, eV per atom: -2.78
N(E_F), states/eV/f.u.: 0.0

## K2ErTcO6 (PBE)

Data for an optimized crystal structure of K2ErTcO6.

a b c (Å): 6.2410 6.2410 5.7113
angles (deg): 90.00 90.00 120.00
Space group P-3m1 (No. 164)
Inequivalent atoms, fractional coordinates:
K 0.3333 0.6667 0.1031 (multiplicity 2)
Er 0.0000 0.0000 0.5000 (multiplicity 1)
Tc 0.0000 0.0000 0.0000 (multiplicity 1)
O 0.1396 0.2792 0.7941 (multiplicity 6)

Calculated values
Total moment, μB/cell: 0.00
Raw formation energy, eV per atom: -1.88

## K3ErTc2O9 (PBE)

Data for an optimized crystal structure of K3ErTc2O9.

a b c (Å): 5.7386 5.7386 7.0977
angles (deg): 90.00 90.00 120.00
Space group P-3m1 (No. 164)
Inequivalent atoms, fractional coordinates:
K 0.0000 0.0000 0.0000 (multiplicity 1)
K 0.3333 0.6667 0.6713 (multiplicity 2)
Er 0.0000 0.0000 0.5000 (multiplicity 1)
Tc 0.3333 0.6667 0.1610 (multiplicity 2)
O 0.0000 0.5000 0.0000 (multiplicity 3)
O 0.1779 0.3558 0.3120 (multiplicity 6)

Calculated values
Total moment, μB/cell: 0.00
Raw formation energy, eV per atom: -1.91
N(E_F), states/eV/f.u.: 5.8

## KErTc2O8 (PBE)

Data for an optimized crystal structure of KErTc2O8.

a b c (Å): 5.9562 5.9562 7.5796
angles (deg): 90.00 90.00 120.00
Space group P-3m1 (No. 164)
Inequivalent atoms, fractional coordinates:
K 0.0000 0.0000 0.0000 (multiplicity 1)
Er 0.0000 0.0000 0.5000 (multiplicity 1)
Tc 0.3333 0.6667 0.7618 (multiplicity 2)
O 0.1692 0.3383 0.6816 (multiplicity 6)
O 0.3333 0.6667 0.9920 (multiplicity 2)

Calculated values
Total moment, μB/cell: 2.04
Raw formation energy, eV per atom: -1.93
N(E_F), states/eV/f.u.: 6.9

## K2ErTe2O6 (PBE)

Data for an optimized crystal structure of K2ErTe2O6.

a b c (Å): 9.865 6.982 6.610
angles (deg): 90.00 111.14 90.00
Space group C2/m (No. 12)
Inequivalent atoms, fractional coordinates:
K 0.180 0.000 0.088 (multiplicity 4)
Er 0.000 0.000 0.500 (multiplicity 2)
Te 0.057 0.500 0.256 (multiplicity 4)
O 0.036 0.215 0.276 (multiplicity 8)
O 0.245 0.000 0.713 (multiplicity 4)

Calculated values
Total moment, μB/cell: 0.00
Raw formation energy, eV per atom: -1.65
N(E_F), states/eV/f.u.: 2.0

## KErTe2O8 (PBE)

Data for an optimized crystal structure of KErTe2O8.

a b c (Å): 5.9536 5.9536 7.6782
angles (deg): 90.00 90.00 120.00
Space group P-3 (No. 147)
Inequivalent atoms, fractional coordinates:
K 0.0000 0.0000 0.0000 (multiplicity 1)
Er 0.0000 0.0000 0.5000 (multiplicity 1)
Te 0.3333 0.6667 0.7655 (multiplicity 2)
O 0.1394 0.3331 0.6817 (multiplicity 6)
O 0.3333 0.6667 0.0023 (multiplicity 2)

Calculated values
Total moment, μB/cell: 0.00
Raw formation energy, eV per atom: -1.58
N(E_F), states/eV/f.u.: 0.0

## K3ErTe2O9 (PBE)

Data for an optimized crystal structure of K3ErTe2O9.

a b c (Å): 5.8111 5.8111 7.1527
angles (deg): 90.00 90.00 120.00
Space group P-3m1 (No. 164)
Inequivalent atoms, fractional coordinates:
K 0.0000 0.0000 0.0000 (multiplicity 1)
K 0.3333 0.6667 0.6674 (multiplicity 2)
Er 0.0000 0.0000 0.5000 (multiplicity 1)
Te 0.3333 0.6667 0.1684 (multiplicity 2)
O 0.0000 0.5000 0.0000 (multiplicity 3)
O 0.1758 0.3515 0.3146 (multiplicity 6)

Calculated values
Total moment, μB/cell: 0.00
Raw formation energy, eV per atom: -1.70
N(E_F), states/eV/f.u.: 4.3

## K2ErTe3O12 (PBE)

Data for an optimized crystal structure of K2ErTe3O12.

a b c (Å): 7.3963 7.3963 18.5490
angles (deg): 90.00 90.00 120.00
Space group R-3m (No. 166, hexagonal axes)
Inequivalent atoms, fractional coordinates:
K 0.0000 0.0000 0.1266 (multiplicity 6)
Er 0.0000 0.0000 0.5000 (multiplicity 3)
Te 0.0000 0.5000 0.0000 (multiplicity 9)
O 0.0452 0.5226 0.1004 (multiplicity 18)
O 0.0674 0.5337 0.3500 (multiplicity 18)

Calculated values
Total moment, μB/cell: 2.53
Raw formation energy, eV per atom: -1.46
N(E_F), states/eV/f.u.: 10.8

## K2Er2TeO6 (PBE)

Data for an optimized crystal structure of K2Er2TeO6.

a b c (Å): 5.917 10.226 6.645
angles (deg): 90.00 106.56 90.00
Space group C2/m (No. 12)
Inequivalent atoms, fractional coordinates:
K 0.000 0.165 0.000 (multiplicity 4)
Er 0.000 0.335 0.500 (multiplicity 4)
Te 0.000 0.000 0.500 (multiplicity 2)
O 0.218 0.167 0.675 (multiplicity 8)
O 0.234 0.500 0.675 (multiplicity 4)

Calculated values
Total moment, μB/cell: 0.00
Raw formation energy, eV per atom: -2.31
N(E_F), states/eV/f.u.: 0.0

## K4Er3TiO8 (PBE)

Data for an optimized crystal structure of K4Er3TiO8.

a b c (Å): 6.7566 6.7566 18.5990
angles (deg): 90.00 90.00 120.00
Space group R-3m (No. 166, hexagonal axes)
Inequivalent atoms, fractional coordinates:
K 0.0000 0.0000 0.0000 (multiplicity 3)
K 0.0000 0.5000 0.0000 (multiplicity 9)
Er 0.0000 0.5000 0.5000 (multiplicity 9)
Ti 0.0000 0.0000 0.5000 (multiplicity 3)
O 0.0000 0.0000 0.2290 (multiplicity 6)
O 0.0144 0.5072 0.2263 (multiplicity 18)

Calculated values
Total moment, μB/cell: 3.02
Raw formation energy, eV per atom: -2.64
N(E_F), states/eV/f.u.: 4.1

## K2Er2TiO6 (PBE)

Data for an optimized crystal structure of K2Er2TiO6.

a b c (Å): 5.712 9.808 6.575
angles (deg): 90.00 105.56 90.00
Space group C2/m (No. 12)
Inequivalent atoms, fractional coordinates:
K 0.000 0.163 0.000 (multiplicity 4)
Er 0.000 0.335 0.500 (multiplicity 4)
Ti 0.000 0.000 0.500 (multiplicity 2)
O 0.203 0.154 0.669 (multiplicity 8)
O 0.244 0.000 0.331 (multiplicity 4)

Calculated values
Total moment, μB/cell: 0.00
Raw formation energy, eV per atom: -2.88
N(E_F), states/eV/f.u.: 0.0

## K3Er3TiO8 (PBE)

Data for an optimized crystal structure of K3Er3TiO8.

a b c (Å): 6.6661 6.6661 18.8622
angles (deg): 90.00 90.00 120.00
Space group R-3m (No. 166, hexagonal axes)
Inequivalent atoms, fractional coordinates:
K 0.0000 0.5000 0.0000 (multiplicity 9)
Er 0.0000 0.5000 0.5000 (multiplicity 9)
Ti 0.0000 0.0000 0.5000 (multiplicity 3)
O 0.0000 0.0000 0.2272 (multiplicity 6)
O 0.0318 0.5159 0.2232 (multiplicity 18)

Calculated values
Total moment, μB/cell: 0.00
Raw formation energy, eV per atom: -2.86
N(E_F), states/eV/f.u.: 0.0

## KErTiO4 (PBE)

Data for an optimized crystal structure of KErTiO4.

a b c (Å): 5.881 5.980 7.472
angles (deg): 90.00 109.14 90.00
Space group P2_1/m (No. 11)
Inequivalent atoms, fractional coordinates:
K 0.183 0.250 0.434 (multiplicity 2)
Er 0.315 0.250 0.959 (multiplicity 2)
Ti 0.229 0.750 0.160 (multiplicity 2)
O 0.007 0.750 0.931 (multiplicity 2)
O 0.025 0.750 0.299 (multiplicity 2)
O 0.450 0.523 0.171 (multiplicity 4)

Calculated values
Total moment, μB/cell: 0.00
Raw formation energy, eV per atom: -2.94
N(E_F), states/eV/f.u.: 0.0